Here is a geometry-optimized AlGaGe2 structure from Alexandria. Energies are from PBE.

Cell and atoms, written as POSCAR:
```
AlGaGe2
1.0
-3.017 -1.546 -4.001
4.224 -0.222 -3.099
1.574 -7.406 -1.761
Ga Al Ge
2 2 4
Direct
0.000 0.000 0.000
0.750 0.250 0.500
0.250 0.750 0.500
0.500 0.500 0.000
0.875 0.874 0.750
0.126 0.625 0.250
0.375 0.376 0.750
0.624 0.125 0.250
```

Summary:
The value obtained for the excess energy over the best structure of this formula in the dataset is 52 meV per atom. As for the formation energy: 0.18 eV/atom. The value obtained for the volume is 23.48 A^3/atom.

---

Here is a geometry-optimized NbAlCu2 structure from Alexandria. Energies are from PBE.

Cell and atoms, written as POSCAR:
```
NbAlCu2
1.0
-3.274 1.713 -5.774
-4.806 -4.705 1.329
-5.451 0.325 -0.882
Cu Nb Al
4 2 2
Direct
0.375 0.397 0.750
0.147 0.625 0.250
0.603 0.125 0.250
0.875 0.853 0.750
0.000 0.000 0.000
0.750 0.250 0.500
0.500 0.500 0.000
0.250 0.750 0.500
```

Summary:
As for the formation energy: 0.35 eV/atom. The value obtained for the volume is 15.66 A^3/atom.

---

Here is a geometry-optimized CuRh2 structure from Alexandria. Energies are from PBE.

Cell and atoms, written as POSCAR:
```
CuRh2
1.0
4.046 0.000 0.000
2.023 3.504 0.000
2.023 1.168 3.303
Rh Cu
2 1
Direct
0.250 0.250 0.250
0.750 0.750 0.750
0.000 0.000 0.000
```

Summary:
The value obtained for the excess energy over the best structure of this formula in the dataset is 566 meV per atom. As for the formation energy: 0.61 eV/atom. The value obtained for the volume is 15.61 A^3/atom.

---

Here is a geometry-optimized CaCd3In2 structure from Alexandria. Energies are from PBE.

Cell and atoms, written as POSCAR:
```
CaCd3In2
1.0
4.726 0.000 1.301
1.291 7.546 4.543
0.092 0.199 8.898
Ca Cd In
2 6 4
Direct
0.871 0.129 0.129
0.129 0.871 0.871
0.000 0.336 0.664
0.000 0.664 0.336
0.319 0.472 0.891
0.319 0.890 0.472
0.681 0.110 0.528
0.681 0.528 0.109
0.500 0.835 0.164
0.810 0.690 0.690
0.500 0.165 0.836
0.190 0.310 0.310
```

Summary:
The value obtained for the excess energy over the best structure of this formula in the dataset is 6 meV per atom. As for the formation energy: -0.19 eV/atom. The value obtained for the volume is 26.04 A^3/atom.

---

Here is a geometry-optimized Pa3Fe2Ge2 structure from Alexandria. Energies are from PBE.

Cell and atoms, written as POSCAR:
```
Pa3Fe2Ge2
1.0
4.144 0.000 -0.895
-0.194 3.705 -0.898
-0.211 0.218 9.059
Ge Pa Fe
2 3 2
Direct
0.140 0.640 0.280
0.860 0.360 0.720
0.000 0.000 0.000
0.320 0.820 0.641
0.680 0.180 0.359
0.434 0.434 0.867
0.566 0.566 0.133
```

Summary:
As for the formation energy: -0.34 eV/atom. The value obtained for the volume is 19.89 A^3/atom.

---

Here is a geometry-optimized LaInRe structure from Alexandria. Energies are from PBE.

Cell and atoms, written as POSCAR:
```
LaInRe
1.0
4.779 0.000 0.000
2.390 4.139 0.000
2.390 1.380 3.902
Re In La
1 1 1
Direct
0.750 0.750 0.750
0.000 0.000 0.000
0.500 0.500 0.500
```

Summary:
The value obtained for the excess energy over the best structure of this formula in the dataset is 145 meV per atom. As for the formation energy: 0.49 eV/atom. The value obtained for the volume is 25.73 A^3/atom.